SrLaHg3: relaxed, PBE.

Lattice parameters (Å, degrees): 5.5872 5.5872 5.5872 90.00 90.00 90.00
Closest atoms and distances in Å follow each position.
Element x y z (fractional)
Hg (0.5000, 0.0000, 0.0000)  2 Sr 2.79
Hg (0.0000, 0.5000, 0.0000)  2 Sr 2.79
Hg (0.0000, 0.0000, 0.5000)  2 Sr 2.79
Sr (0.0000, 0.0000, 0.0000)  6 Hg 2.79
La (0.5000, 0.5000, 0.5000)  12 Hg 3.95

## Properties
Excess energy over the best structure of this formula in the dataset   3.55 eV per formula unit
Crystal system   cubic
Space-group type   Pm-3m (221)

---

PrErInAg: relaxed, PBE.

Lattice parameters (Å, degrees): 3.6665 3.6665 7.8950 90.00 90.00 90.00
Closest atoms and distances in Å follow each position.
Element x y z (fractional)
In (0.5000, 0.5000, 0.1242)  4 Er 3.26, 4 Pr 3.38, 1 Ag 3.59
Er (0.0000, 0.0000, 0.3753)  4 Ag 3.05, 4 In 3.26
Pr (0.0000, 0.0000, 0.8499)  4 Ag 3.36, 4 In 3.38, 4 Pr 3.67, 1 Er 3.75
Ag (0.5000, 0.5000, 0.5785)  4 Er 3.05, 4 Pr 3.36

## Properties
Excess energy over the best structure of this formula in the dataset   0.00 eV per formula unit
Crystal system   tetragonal
Space-group type   P4mm (99)

---

Er4Tm5Mg2: relaxed, PBE.

Lattice parameters (Å, degrees): 3.3819 8.7362 12.2589 110.87 97.93 90.00
Closest atoms and distances in Å follow each position.
Element x y z (fractional)
Tm (0.1397, 0.9434, 0.2795)  2 Mg 3.28, 2 Er 3.34-3.37, 3 Tm 3.38-3.43
Tm (0.1397, 0.3361, 0.2795)  2 Mg 3.28, 2 Er 3.34-3.37, 3 Tm 3.38-3.43
Tm (0.8603, 0.6639, 0.7205)  2 Mg 3.28, 2 Er 3.34-3.37, 3 Tm 3.38-3.43
Tm (0.8603, 0.0566, 0.7205)  2 Mg 3.28, 2 Er 3.34-3.37, 3 Tm 3.38-3.43
Tm (0.5000, 0.0000, 0.0000)  4 Er 3.26, 2 Tm 3.38
Mg (0.5985, 0.5985, 0.1969)  5 Er 3.03-3.22, 4 Tm 3.28, 2 Mg 3.38
Mg (0.4015, 0.4015, 0.8031)  5 Er 3.03-3.22, 4 Tm 3.28, 2 Mg 3.38
Er (0.7321, 0.7321, 0.4642)  1 Mg 3.03, 2 Tm 3.37, 2 Er 3.38
Er (0.2679, 0.2679, 0.5358)  1 Mg 3.03, 2 Tm 3.37, 2 Er 3.38
Er (0.0000, 0.6812, 0.0000)  3 Er 3.17-3.38, 4 Mg 3.22, 4 Tm 3.26-3.34
Er (0.0000, 0.3188, 0.0000)  3 Er 3.17-3.38, 4 Mg 3.22, 4 Tm 3.26-3.34

## Properties
Excess energy over the best structure of this formula in the dataset   2.55 eV per formula unit
Crystal system   orthorhombic
Space-group type   Immm (71)

---

CePm7: relaxed, PBE.

Lattice parameters (Å, degrees): 3.5710 8.9952 8.9952 78.49 78.56 78.56
Closest atoms and distances in Å follow each position.
Element x y z (fractional)
Pm (0.2581, 0.2419, 0.2419)  9 Pm 3.37-3.65, 2 Ce 3.72
Pm (0.6299, 0.6055, 0.1351)  10 Pm 3.37-3.72
Pm (0.3701, 0.3945, 0.8649)  10 Pm 3.37-3.72
Pm (0.7419, 0.7581, 0.7581)  9 Pm 3.37-3.65, 2 Ce 3.72
Pm (0.3701, 0.8649, 0.3945)  10 Pm 3.37-3.72
Pm (0.6299, 0.1351, 0.6055)  10 Pm 3.37-3.72
Pm (0.0000, 0.5000, 0.5000)  12 Pm 3.48-3.66
Ce (0.0000, 0.0000, 0.0000)  2 Ce 3.57, 12 Pm 3.72-3.91

## Properties
E   -38.60 eV per formula unit
Crystal system   orthorhombic
Space-group type   Immm (71)

---

Ba3ErTh2As6: relaxed, PBE.

Lattice parameters (Å, degrees): 7.6224 7.6224 7.9560 99.19 99.19 120.04
Closest atoms and distances in Å follow each position.
Element x y z (fractional)
As (0.9297, 0.5990, 0.7889)  1 Er 2.98, 2 Th 3.01, 1 Ba 3.34
As (0.2603, 0.2603, 0.7888)  1 Er 2.98, 2 Th 3.01, 2 Ba 3.34
As (0.0703, 0.4010, 0.2111)  1 Er 2.98, 2 Th 3.01, 1 Ba 3.34
As (0.5990, 0.9297, 0.7889)  1 Er 2.98, 2 Th 3.01, 1 Ba 3.34
As (0.7397, 0.7397, 0.2112)  1 Er 2.98, 2 Th 3.01, 2 Ba 3.34
As (0.4010, 0.0703, 0.2111)  1 Er 2.98, 2 Th 3.01, 1 Ba 3.34
Ba (0.8335, 0.1665, 0.5000)  6 As 3.34-3.36
Ba (0.5000, 0.5000, 0.5000)  6 As 3.34-3.36
Ba (0.1665, 0.8335, 0.5000)  6 As 3.34-3.36
Th (0.6665, 0.3335, 0.0000)  6 As 3.01
Th (0.3335, 0.6665, 0.0000)  6 As 3.01
Er (0.0000, 0.0000, 0.0000)  6 As 2.98

## Properties
E   -68.05 eV per formula unit
Crystal system   monoclinic
Space-group type   C2/m (12)

---

ZrMnIn: relaxed, PBE.

Lattice parameters (Å, degrees): 4.6898 4.6898 3.1594 90.00 90.00 120.00
Closest atoms and distances in Å follow each position.
Element x y z (fractional)
Mn (0.3333, 0.6667, 0.1670)  3 In 2.71
In (0.0000, 0.0000, 0.1664)  3 Mn 2.71
Zr (0.6667, 0.3333, 0.6666)  6 Mn 3.13-3.14, 6 In 3.13, 2 Zr 3.16

## Properties
E   -20.37 eV per formula unit
Crystal system   hexagonal
Space-group type   P-6m2 (187)

---

YMoRh2: relaxed, PBE.

Lattice parameters (Å, degrees): 2.9979 3.0225 8.2185 68.42 90.00 90.00
Closest atoms and distances in Å follow each position.
Element x y z (fractional)
Rh (0.0000, 0.4696, 0.5301)  4 Mo 2.71, 4 Rh 3.00-3.02, 4 Y 3.02
Rh (0.0000, 0.0304, 0.9699)  4 Mo 2.71, 4 Rh 3.00-3.02, 4 Y 3.02
Mo (0.5000, 0.7500, 0.7500)  8 Rh 2.71, 4 Mo 3.00-3.02
Y (0.5000, 0.2500, 0.2500)  4 Y 3.00-3.02, 8 Rh 3.02

## Properties
Excess energy over the best structure of this formula in the dataset   0.00 eV per formula unit
Crystal system   orthorhombic
Space-group type   Pmmm (47)

---

LiCeSi: relaxed, PBE.

Lattice parameters (Å, degrees): 4.3509 5.5481 6.1216 90.32 69.18 66.91
Closest atoms and distances in Å follow each position.
Element x y z (fractional)
Si (0.0286, 0.1585, 0.7843)  3 Li 2.56-2.65
Si (0.9714, 0.8415, 0.2157)  3 Li 2.56-2.65
Ce (0.7000, 0.7552, 0.8449)  1 Ce 2.81, 5 Si 3.01-3.05
Ce (0.3000, 0.2448, 0.1551)  1 Ce 2.81, 5 Si 3.01-3.05
Li (0.5910, 0.2445, 0.5736)  3 Si 2.56-2.65
Li (0.4090, 0.7555, 0.4264)  3 Si 2.56-2.65

## Properties
Crystal system   monoclinic
Formation energy from raw total energies   -7.803 kcal/mol of atoms
Space-group type   C2/m (12)

---

Dy5Ho4In: relaxed, PBE.

Lattice parameters (Å, degrees): 4.0858 4.0858 18.2790 90.00 90.00 90.00
Closest atoms and distances in Å follow each position.
Element x y z (fractional)
Dy (0.5000, 0.5000, 0.7030)  8 Ho 3.41-3.44, 2 Dy 3.71-3.76
Dy (0.5000, 0.5000, 0.0910)  1 Dy 3.33, 4 In 3.33, 4 Ho 3.49
Dy (0.5000, 0.5000, 0.2970)  8 Ho 3.41-3.44, 2 Dy 3.71-3.76
Dy (0.5000, 0.5000, 0.9090)  1 Dy 3.33, 4 In 3.33, 4 Ho 3.49
Dy (0.5000, 0.5000, 0.5000)  8 Ho 3.43, 2 Dy 3.71
Ho (0.0000, 0.0000, 0.3987)  8 Dy 3.43-3.44, 2 Ho 3.67-3.70
Ho (0.0000, 0.0000, 0.1979)  8 Dy 3.41-3.49, 1 In 3.62, 1 Ho 3.67
Ho (0.0000, 0.0000, 0.6013)  8 Dy 3.43-3.44, 2 Ho 3.67-3.70
Ho (0.0000, 0.0000, 0.8021)  8 Dy 3.41-3.49, 1 In 3.62, 1 Ho 3.67
In (0.0000, 0.0000, 0.0000)  8 Dy 3.33, 2 Ho 3.62

## Properties
Excess energy over the best structure of this formula in the dataset   0.00 eV per formula unit
Crystal system   tetragonal
Space-group type   P4/mmm (123)

---

Mn3ReW: relaxed, PBE.

Lattice parameters (Å, degrees): 4.4949 4.4949 4.4949 90.00 90.00 90.00
Closest atoms and distances in Å follow each position.
Element x y z (fractional)
Mn (0.0000, 0.5000, 0.0000)  2 Re 2.25
Mn (0.0000, 0.0000, 0.5000)  2 Re 2.25
Mn (0.5000, 0.0000, 0.0000)  2 Re 2.25
Re (0.0000, 0.0000, 0.0000)  6 Mn 2.25
W (0.5000, 0.5000, 0.5000)  12 Mn 3.18

## Properties
Excess energy over the best structure of this formula in the dataset   0.00 eV per formula unit
Crystal system   cubic
Space-group type   Pm-3m (221)

---

Li2YPb: relaxed, PBE.

Lattice parameters (Å, degrees): 5.2081 3.5689 5.3737 87.34 90.00 90.00
Closest atoms and distances in Å follow each position.
Element x y z (fractional)
Li (0.0000, 0.3940, 0.4935)  2 Li 2.86-2.90, 2 Pb 2.97
Li (0.0000, 0.1060, 0.0065)  2 Li 2.86-2.90, 2 Pb 2.97
Y (0.5000, 0.7500, 0.7500)  4 Pb 3.16-3.29, 4 Li 3.23
Pb (0.5000, 0.2500, 0.2500)  4 Li 2.97, 4 Y 3.16-3.29

## Properties
E   -14.82 eV per formula unit
Crystal system   monoclinic
Space-group type   P2/m (10)

---

Na5Sr4Hg2: relaxed, PBE.

Lattice parameters (Å, degrees): 4.3157 9.0527 11.3712 93.31 90.00 90.00
Closest atoms and distances in Å follow each position.
Element x y z (fractional)
Na (0.0000, 0.5000, 0.0000)  4 Na 3.43-3.68
Na (0.0000, 0.1880, 0.1569)  1 Hg 3.33, 2 Na 3.43-3.70
Na (0.0000, 0.5521, 0.3231)  1 Hg 3.43, 2 Na 3.68-3.70
Na (0.0000, 0.8120, 0.8431)  1 Hg 3.33, 2 Na 3.43-3.70
Na (0.0000, 0.4479, 0.6769)  1 Hg 3.43, 2 Na 3.68-3.70
Sr (0.5000, 0.2058, 0.4494)  4 Hg 3.38-3.42
Sr (0.5000, 0.7942, 0.5506)  4 Hg 3.38-3.42
Sr (0.5000, 0.1651, 0.8532)  2 Hg 3.29
Sr (0.5000, 0.8349, 0.1468)  2 Hg 3.29
Hg (0.0000, 0.0687, 0.6445)  6 Sr 3.29-3.42, 2 Na 3.33-3.43, 1 Hg 3.45
Hg (0.0000, 0.9313, 0.3555)  6 Sr 3.29-3.42, 2 Na 3.33-3.43, 1 Hg 3.45

## Properties
E   -15.79 eV per formula unit
Crystal system   monoclinic
Space-group type   P2/m (10)